[1]
This record from OQMD via LeMat-Bulk describes a relaxed structure of Ho2ErCo2Ge4. The functional is PBE. Values from VASP.

```
&SYSTEM
  ibrav = 0, nat = 9, ntyp = 4
/
ATOMIC_SPECIES
Co 58.93 Co.upf
Ge 72.64 Ge.upf
Ho 164.93 Ho.upf
Er 167.26 Er.upf
CELL_PARAMETERS angstrom
-1.408 4.901 -2.497
-2.689 1.645 -4.723
-5.663 -1.472 5.414
ATOMIC_POSITIONS crystal
Co 0.308 0.308 0.628
Ge 0.708 0.708 0.081
Ho 0.377 0.377 0.307
Ge 0.903 0.903 0.601
Ho 0.623 0.623 0.693
Er 0.000 0.000 0.000
Co 0.692 0.692 0.372
Ge 0.097 0.097 0.399
Ge 0.292 0.292 0.919
```

Results
* total magnetic moment: 0.01 μB/f.u.
* electronic total energy: -52.83 eV per cell

[2]
This record from OQMD via LeMat-Bulk describes a relaxed structure of Li2ZnCdGa2Ni2. The functional is PBE. Values from VASP.

```
&SYSTEM
  ibrav = 0, nat = 8, ntyp = 5
/
ATOMIC_SPECIES
Cd 112.41 Cd.upf
Li 6.94 Li.upf
Ni 58.69 Ni.upf
Ga 69.72 Ga.upf
Zn 65.41 Zn.upf
CELL_PARAMETERS angstrom
-1.138 4.078 -0.141
-1.204 -0.195 4.057
5.549 1.608 1.724
ATOMIC_POSITIONS crystal
Cd 0.000 0.000 0.500
Li 0.000 0.500 0.762
Ni 0.000 0.500 0.230
Ga 0.500 0.500 0.500
Ga 0.000 0.000 0.000
Zn 0.500 0.500 0.000
Li 0.500 0.000 0.238
Ni 0.500 0.000 0.770
```

Results
* total magnetic moment: 0.00 μB/f.u.
* electronic total energy: -25.50 eV per cell

[3]
This record from OQMD via LeMat-Bulk describes a relaxed structure of CdNiGeTe3. The functional is PBE. Values from VASP.

```
&SYSTEM
  ibrav = 0, nat = 12, ntyp = 4
/
ATOMIC_SPECIES
Te 127.60 Te.upf
Cd 112.41 Cd.upf
Ni 58.69 Ni.upf
Ge 72.64 Ge.upf
CELL_PARAMETERS angstrom
1.919 -7.477 0.000
1.919 7.477 0.000
0.000 0.000 11.752
ATOMIC_POSITIONS crystal
Te 0.897 0.103 0.945
Te 0.103 0.897 0.055
Te 0.668 0.332 0.750
Cd 0.011 0.989 0.750
Ni 0.500 0.500 0.500
Cd 0.989 0.011 0.250
Ge 0.700 0.300 0.250
Ge 0.300 0.700 0.750
Te 0.103 0.897 0.445
Te 0.897 0.103 0.555
Ni 0.500 0.500 0.000
Te 0.332 0.668 0.250
```

Results
* total magnetic moment: 0.00 μB/f.u.
* electronic total energy: -40.63 eV per cell

[4]
This record from OQMD via LeMat-Bulk describes a relaxed structure of PmHfNO. The functional is PBE. Values from VASP.

```
&SYSTEM
  ibrav = 0, nat = 8, ntyp = 4
/
ATOMIC_SPECIES
N 14.01 N.upf
Hf 178.49 Hf.upf
O 16.00 O.upf
Pm 145.00 Pm.upf
CELL_PARAMETERS angstrom
3.867 0.000 0.000
0.000 5.328 0.000
0.000 0.000 6.490
ATOMIC_POSITIONS crystal
N 0.000 0.859 0.378
N 0.000 0.359 0.622
Hf 0.000 0.478 0.325
Hf 0.000 0.978 0.675
O 0.500 0.467 0.215
Pm 0.500 0.950 0.158
Pm 0.500 0.450 0.842
O 0.500 0.967 0.785
```

Results
* total magnetic moment: 0.01 μB/f.u.
* electronic total energy: -71.96 eV per cell

[5]
This record from OQMD via LeMat-Bulk describes a relaxed structure of NaNdNiSe3. The functional is PBE. Values from VASP.

```
&SYSTEM
  ibrav = 0, nat = 12, ntyp = 4
/
ATOMIC_SPECIES
Ni 58.69 Ni.upf
Se 78.96 Se.upf
Nd 144.24 Nd.upf
Na 22.99 Na.upf
CELL_PARAMETERS angstrom
8.421 -2.097 0.000
8.421 2.097 0.000
-2.284 0.000 7.986
ATOMIC_POSITIONS crystal
Ni 0.505 0.505 0.692
Se 0.500 0.500 0.000
Ni 0.495 0.495 0.308
Se 0.000 0.000 0.500
Nd 0.826 0.826 0.388
Se 0.346 0.346 0.165
Nd 0.174 0.174 0.612
Se 0.352 0.352 0.652
Na 0.127 0.127 0.069
Na 0.873 0.873 0.931
Se 0.654 0.654 0.835
Se 0.648 0.648 0.348
```

Results
* total magnetic moment: 0.08 μB/f.u.
* electronic total energy: -56.01 eV per cell

[6]
This record from OQMD via LeMat-Bulk describes a relaxed structure of Nb2PdS6. The functional is PBE. Values from VASP.

```
&SYSTEM
  ibrav = 0, nat = 9, ntyp = 3
/
ATOMIC_SPECIES
S 32.06 S.upf
Nb 92.91 Nb.upf
Pd 106.42 Pd.upf
CELL_PARAMETERS angstrom
6.121 -1.640 0.000
6.121 1.640 0.000
-4.574 0.000 9.020
ATOMIC_POSITIONS crystal
S 0.987 0.987 0.760
S 0.337 0.337 0.460
Nb 0.318 0.318 0.709
S 0.215 0.215 0.128
S 0.013 0.013 0.240
S 0.663 0.663 0.540
S 0.785 0.785 0.872
Nb 0.682 0.682 0.291
Pd 0.000 0.000 0.000
```

Results
* total magnetic moment: 0.02 μB/f.u.
* electronic total energy: -57.26 eV per cell

[7]
This record from OQMD via LeMat-Bulk describes a relaxed structure of ErHgC. The functional is PBE. Values from VASP.

```
&SYSTEM
  ibrav = 0, nat = 9, ntyp = 3
/
ATOMIC_SPECIES
Hg 200.59 Hg.upf
Er 167.26 Er.upf
C 12.01 C.upf
CELL_PARAMETERS angstrom
4.552 0.000 0.000
0.000 5.949 3.459
0.000 -5.949 3.459
ATOMIC_POSITIONS crystal
Hg 0.500 0.001 0.667
Er 0.000 0.667 0.667
C 0.000 0.666 0.332
Er 0.000 0.000 0.333
Er 0.000 0.333 0.000
C 0.000 0.332 0.666
Hg 0.500 0.334 0.334
Hg 0.500 0.667 0.001
C 0.000 0.999 0.999
```

Results
* total magnetic moment: 0.36 μB/f.u.
* electronic total energy: -37.75 eV per cell

[8]
This record from OQMD via LeMat-Bulk describes a relaxed structure of ScCdGaFe. The functional is PBE. Values from VASP.

```
&SYSTEM
  ibrav = 0, nat = 4, ntyp = 4
/
ATOMIC_SPECIES
Ga 69.72 Ga.upf
Sc 44.96 Sc.upf
Fe 55.84 Fe.upf
Cd 112.41 Cd.upf
CELL_PARAMETERS angstrom
1.787 1.195 4.054
-2.691 0.255 3.708
0.397 -3.119 3.342
ATOMIC_POSITIONS crystal
Ga 0.000 0.000 0.000
Sc 0.500 0.500 0.500
Fe 0.750 0.750 0.750
Cd 0.250 0.250 0.250
```

Results
* total magnetic moment: 1.71 μB/f.u.
* electronic total energy: -18.58 eV per cell

[9]
This record from OQMD via LeMat-Bulk describes a relaxed structure of RbZnOs. The functional is PBE. Values from VASP.

```
&SYSTEM
  ibrav = 0, nat = 3, ntyp = 3
/
ATOMIC_SPECIES
Zn 65.41 Zn.upf
Rb 85.47 Rb.upf
Os 190.23 Os.upf
CELL_PARAMETERS angstrom
0.000 3.356 3.356
3.356 0.000 3.356
3.356 3.356 0.000
ATOMIC_POSITIONS crystal
Zn 0.750 0.750 0.750
Rb 0.250 0.250 0.250
Os 0.000 0.000 0.000
```

Results
* total magnetic moment: 1.00 μB/f.u.
* electronic total energy: -8.13 eV per cell

[10]
This record from OQMD via LeMat-Bulk describes a relaxed structure of HgTe2Au2F2. The functional is PBE. Values from VASP.

```
&SYSTEM
  ibrav = 0, nat = 7, ntyp = 4
/
ATOMIC_SPECIES
Te 127.60 Te.upf
Au 196.97 Au.upf
F 19.00 F.upf
Hg 200.59 Hg.upf
CELL_PARAMETERS angstrom
3.866 0.000 0.000
0.000 3.866 0.000
0.000 0.000 9.507
ATOMIC_POSITIONS crystal
Te 0.500 0.000 0.238
Au 0.500 0.000 0.667
Au 0.000 0.500 0.333
Te 0.000 0.500 0.762
F 0.500 0.500 0.500
F 0.000 0.000 0.500
Hg 0.000 0.000 0.000
```

Results
* electronic total energy: -19.12 eV per cell

[11]
This record from OQMD via LeMat-Bulk describes a relaxed structure of TbH8C6O10. The functional is PBE. Values from VASP.

```
&SYSTEM
  ibrav = 0, nat = 50, ntyp = 4
/
ATOMIC_SPECIES
H 1.01 H.upf
O 16.00 O.upf
C 12.01 C.upf
Tb 158.93 Tb.upf
CELL_PARAMETERS angstrom
-7.329 3.140 -1.276
-0.183 -5.398 6.267
5.861 5.445 3.762
ATOMIC_POSITIONS crystal
H 0.100 0.303 0.085
H 0.366 0.082 0.965
O 0.211 0.348 0.967
C 0.685 0.923 0.480
O 0.346 0.070 0.065
O 0.976 0.019 0.755
C 0.654 0.286 0.817
H 0.590 0.137 0.204
H 0.154 0.218 0.902
H 0.634 0.918 0.035
C 0.346 0.714 0.183
O 0.071 0.784 0.400
O 0.151 0.478 0.512
H 0.200 0.804 0.614
Tb 0.911 0.476 0.227
C 0.315 0.077 0.520
O 0.849 0.522 0.488
C 0.474 0.175 0.653
C 0.456 0.501 0.541
O 0.371 0.712 0.050
H 0.900 0.697 0.915
O 0.743 0.194 0.261
H 0.234 0.947 0.021
H 0.766 0.053 0.979
H 0.045 0.176 0.202
O 0.654 0.930 0.935
H 0.846 0.782 0.098
O 0.257 0.806 0.739
O 0.789 0.652 0.033
C 0.125 0.941 0.378
H 0.358 0.392 0.053
H 0.642 0.608 0.947
O 0.629 0.288 0.950
Tb 0.089 0.524 0.773
O 0.179 0.631 0.180
C 0.669 0.501 0.385
C 0.526 0.825 0.347
C 0.544 0.499 0.459
C 0.875 0.059 0.622
C 0.331 0.499 0.615
H 0.410 0.863 0.796
O 0.988 0.736 0.860
O 0.024 0.981 0.245
O 0.929 0.216 0.600
O 0.821 0.369 0.820
O 0.395 0.519 0.777
H 0.955 0.824 0.798
O 0.605 0.481 0.223
H 0.800 0.196 0.386
O 0.012 0.264 0.140
```

Results
* total magnetic moment: 0.00 μB/f.u.
* electronic total energy: -325.21 eV per cell

[12]
This record from OQMD via LeMat-Bulk describes a relaxed structure of SrAlAsPd2. The functional is PBE. Values from VASP.

```
&SYSTEM
  ibrav = 0, nat = 10, ntyp = 4
/
ATOMIC_SPECIES
Al 26.98 Al.upf
As 74.92 As.upf
Sr 87.62 Sr.upf
Pd 106.42 Pd.upf
CELL_PARAMETERS angstrom
-0.074 4.519 -0.606
-0.152 -0.608 -4.517
-9.772 -0.113 0.344
ATOMIC_POSITIONS crystal
Al 0.000 0.500 0.115
Al 0.500 0.000 0.885
As 0.500 0.500 0.500
Sr 0.000 0.500 0.744
Sr 0.500 0.000 0.256
Pd 0.000 0.500 0.376
Pd 0.000 0.000 0.000
Pd 0.500 0.000 0.624
As 0.000 0.000 0.500
Pd 0.500 0.500 0.000
```

Results
* electronic total energy: -48.38 eV per cell

[13]
This record from OQMD via LeMat-Bulk describes a relaxed structure of LiScBAu. The functional is PBE. Values from VASP.

```
&SYSTEM
  ibrav = 0, nat = 4, ntyp = 4
/
ATOMIC_SPECIES
B 10.81 B.upf
Au 196.97 Au.upf
Sc 44.96 Sc.upf
Li 6.94 Li.upf
CELL_PARAMETERS angstrom
-2.189 2.384 2.686
-1.165 3.887 -1.107
-4.050 0.846 -0.758
ATOMIC_POSITIONS crystal
B 0.000 0.000 0.000
Au 0.750 0.750 0.750
Sc 0.250 0.250 0.250
Li 0.500 0.500 0.500
```

Results
* total magnetic moment: 0.00 μB/f.u.
* electronic total energy: -18.96 eV per cell

[14]
This record from OQMD via LeMat-Bulk describes a relaxed structure of CsP2IrOs. The functional is PBE. Values from VASP.

```
&SYSTEM
  ibrav = 0, nat = 5, ntyp = 4
/
ATOMIC_SPECIES
Ir 192.22 Ir.upf
P 30.97 P.upf
Os 190.23 Os.upf
Cs 132.91 Cs.upf
CELL_PARAMETERS angstrom
1.648 0.573 7.521
-3.933 0.865 6.587
0.952 -3.534 -6.798
ATOMIC_POSITIONS crystal
Ir 0.750 0.250 0.500
P 0.336 0.336 0.000
P 0.664 0.664 0.000
Os 0.250 0.750 0.500
Cs 0.000 0.000 0.000
```

Results
* total magnetic moment: 0.00 μB/f.u.
* electronic total energy: -34.56 eV per cell

[15]
This record from OQMD via LeMat-Bulk describes a relaxed structure of NdAgPO. The functional is PBE. Values from VASP.

```
&SYSTEM
  ibrav = 0, nat = 8, ntyp = 4
/
ATOMIC_SPECIES
Nd 144.24 Nd.upf
P 30.97 P.upf
Ag 107.87 Ag.upf
O 16.00 O.upf
CELL_PARAMETERS angstrom
-0.339 -4.701 0.039
2.312 -0.216 -6.012
4.396 -0.303 1.701
ATOMIC_POSITIONS crystal
Nd 0.500 0.269 0.000
P 0.000 0.003 0.756
Ag 0.000 0.364 0.499
O 0.500 0.624 0.999
O 0.500 0.376 0.499
P 0.000 0.997 0.256
Ag 0.000 0.636 0.999
Nd 0.500 0.731 0.500
```

Results
* total magnetic moment: 0.00 μB/f.u.
* electronic total energy: -45.97 eV per cell

[16]
This record from OQMD via LeMat-Bulk describes a relaxed structure of ZrTa2Al. The functional is PBE. Values from VASP.

```
&SYSTEM
  ibrav = 0, nat = 4, ntyp = 3
/
ATOMIC_SPECIES
Ta 180.95 Ta.upf
Zr 91.22 Zr.upf
Al 26.98 Al.upf
CELL_PARAMETERS angstrom
0.000 3.345 3.345
3.345 0.000 3.345
3.345 3.345 0.000
ATOMIC_POSITIONS crystal
Ta 0.750 0.750 0.750
Ta 0.000 0.000 0.000
Zr 0.250 0.250 0.250
Al 0.500 0.500 0.500
```

Results
* total magnetic moment: 0.00 μB/f.u.
* electronic total energy: -36.22 eV per cell

[17]
This record from OQMD via LeMat-Bulk describes a relaxed structure of BaNi2Ir2. The functional is PBE. Values from VASP.

```
&SYSTEM
  ibrav = 0, nat = 5, ntyp = 3
/
ATOMIC_SPECIES
Ba 137.33 Ba.upf
Ir 192.22 Ir.upf
Ni 58.69 Ni.upf
CELL_PARAMETERS angstrom
-2.746 -5.572 1.295
-3.474 -1.456 5.107
0.771 4.352 -4.553
ATOMIC_POSITIONS crystal
Ba 0.000 0.000 0.000
Ir 0.750 0.250 0.500
Ni 0.617 0.617 0.000
Ir 0.250 0.750 0.500
Ni 0.383 0.383 0.000
```

Results
* total magnetic moment: 0.08 μB/f.u.
* electronic total energy: -29.61 eV per cell

[18]
This record from OQMD via LeMat-Bulk describes a relaxed structure of Ta2NbTc3. The functional is PBE. Values from VASP.

```
&SYSTEM
  ibrav = 0, nat = 6, ntyp = 3
/
ATOMIC_SPECIES
Tc 98.00 Tc.upf
Ta 180.95 Ta.upf
Nb 92.91 Nb.upf
CELL_PARAMETERS angstrom
3.187 0.000 0.000
0.000 3.187 0.000
0.000 0.000 9.554
ATOMIC_POSITIONS crystal
Tc 0.000 0.000 0.333
Ta 0.500 0.500 0.167
Tc 0.000 0.000 0.667
Tc 0.000 0.000 0.000
Nb 0.500 0.500 0.500
Ta 0.500 0.500 0.833
```

Results
* calculated formation energy: -0.446 eV per atom
* total magnetic moment: 0.00 μB/f.u.
* electronic total energy: -67.56 eV per cell

[19]
This record from OQMD via LeMat-Bulk describes a relaxed structure of TbHoSe4. The functional is PBE. Values from VASP.

```
&SYSTEM
  ibrav = 0, nat = 6, ntyp = 3
/
ATOMIC_SPECIES
Ho 164.93 Ho.upf
Tb 158.93 Tb.upf
Se 78.96 Se.upf
CELL_PARAMETERS angstrom
4.685 -2.279 0.000
4.685 2.279 0.000
-0.733 0.000 7.483
ATOMIC_POSITIONS crystal
Ho 0.322 0.322 0.781
Tb 0.677 0.677 0.218
Se 0.365 0.365 0.159
Se 0.635 0.635 0.837
Se 0.116 0.116 0.448
Se 0.884 0.884 0.556
```

Results
* total magnetic moment: 0.00 μB/f.u.
* electronic total energy: -32.45 eV per cell

[20]
This record from OQMD via LeMat-Bulk describes a relaxed structure of Pr2Se. The functional is PBE. Values from VASP.

```
&SYSTEM
  ibrav = 0, nat = 6, ntyp = 2
/
ATOMIC_SPECIES
Pr 140.91 Pr.upf
Se 78.96 Se.upf
CELL_PARAMETERS angstrom
-7.076 0.685 5.864
0.790 5.164 7.592
-4.662 7.920 0.691
ATOMIC_POSITIONS crystal
Pr 0.875 0.375 0.375
Se 0.500 0.500 0.500
Se 0.250 0.250 0.250
Pr 0.375 0.375 0.375
Pr 0.375 0.875 0.375
Pr 0.375 0.375 0.875
```

Results
* total magnetic moment: 3.00 μB/f.u.
* electronic total energy: -24.14 eV per cell

[21]
This record from OQMD via LeMat-Bulk describes a relaxed structure of ScGaCo2. The functional is PBE. Values from VASP.

```
&SYSTEM
  ibrav = 0, nat = 4, ntyp = 3
/
ATOMIC_SPECIES
Ga 69.72 Ga.upf
Sc 44.96 Sc.upf
Co 58.93 Co.upf
CELL_PARAMETERS angstrom
3.445 -2.380 0.916
-0.471 -3.797 1.933
0.745 -3.619 -2.174
ATOMIC_POSITIONS crystal
Ga 0.250 0.250 0.250
Sc 0.000 0.000 0.000
Co 0.500 0.500 0.500
Co 0.750 0.750 0.750
```

Results
* total magnetic moment: 2.85 μB/f.u.
* electronic total energy: -24.17 eV per cell

[22]
This record from OQMD via LeMat-Bulk describes a relaxed structure of Nd3AlGaCo4. The functional is PBE. Values from VASP.

```
&SYSTEM
  ibrav = 0, nat = 9, ntyp = 4
/
ATOMIC_SPECIES
Co 58.93 Co.upf
Ga 69.72 Ga.upf
Nd 144.24 Nd.upf
Al 26.98 Al.upf
CELL_PARAMETERS angstrom
-2.376 -3.990 -2.947
-1.014 -5.366 0.655
-6.810 3.043 3.737
ATOMIC_POSITIONS crystal
Co 0.083 0.083 0.133
Co 0.259 0.259 0.419
Co 0.916 0.916 0.866
Ga 0.677 0.677 0.280
Nd 0.000 0.000 0.500
Co 0.740 0.740 0.581
Nd 0.375 0.375 0.124
Nd 0.627 0.627 0.878
Al 0.324 0.324 0.718
```

Results
* total magnetic moment: 0.63 μB/f.u.
* electronic total energy: -51.96 eV per cell

[23]
This record from OQMD via LeMat-Bulk describes a relaxed structure of NdHoGa2I2. The functional is PBE. Values from VASP.

```
&SYSTEM
  ibrav = 0, nat = 6, ntyp = 4
/
ATOMIC_SPECIES
Ga 69.72 Ga.upf
I 126.90 I.upf
Ho 164.93 Ho.upf
Nd 144.24 Nd.upf
CELL_PARAMETERS angstrom
4.243 0.000 0.000
-2.122 3.675 0.000
0.000 0.000 12.356
ATOMIC_POSITIONS crystal
Ga 0.667 0.333 0.477
I 0.333 0.667 0.165
Ho 0.000 0.000 0.666
I 0.667 0.333 0.826
Ga 0.333 0.667 0.531
Nd 0.000 0.000 0.334
```

Results
* total magnetic moment: 0.01 μB/f.u.
* electronic total energy: -24.77 eV per cell